Below is a geometry-optimized NbS2 structure, with properties calculated at the PBE-GGA level.

POSCAR file:
```
NbS2
1.0
-1.233 5.774 3.591
-4.623 3.118 4.082
3.871 -5.327 -2.095
S Nb
2 1
direct
0.613 0.613 0.000 S
0.387 0.387 0.000 S
0.000 0.000 0.000 Nb
```

electronic total energy: -6.8642 eV per atom
DOS at the Fermi energy: 2.3 states/eV/cell